Record 1
The following is a DFT calculation (GGA-PBE) of a geometry-optimized SmTm2Al6 structure.

Cell and atoms, written as CIF:
```
data_SmTm2Al6
_cell_length_a 3.460
_cell_length_b 7.914
_cell_length_c 7.914
_cell_angle_alpha 120.00
_cell_angle_beta 90.00
_cell_angle_gamma 90.00
_space_group_name_H-M_alt 'P 1'
_space_group_IT_number 1
_space_group_name_Hall 'P 1'
loop_
_atom_site_label
_atom_site_type_symbol
_atom_site_fract_x
_atom_site_fract_y
_atom_site_fract_z
Tm1 Tm 0.000 0.333 0.667
Al1 Al 0.500 0.335 0.000
Al2 Al 0.500 0.000 0.335
Tm2 Tm 0.000 0.667 0.333
Al3 Al 0.500 0.665 0.000
Al4 Al 0.500 0.000 0.665
Al5 Al 0.500 0.665 0.665
Sm1 Sm 0.000 0.000 0.000
Al6 Al 0.500 0.335 0.335
```


Record 2
# GGA-PBE AsPtW, relaxed
data_AsPtW
_cell_length_a 6.540
_cell_length_b 6.541
_cell_length_c 2.891
_cell_angle_alpha 77.23
_cell_angle_beta 77.23
_cell_angle_gamma 25.54
_space_group_name_H-M_alt 'P 1'
_space_group_IT_number 1
_space_group_name_Hall 'P 1'
loop_
_atom_site_label
_atom_site_type_symbol
_atom_site_fract_x
_atom_site_fract_y
_atom_site_fract_z
As1 As 0.020 0.020 0.980
W1 W 0.669 0.669 0.331
Pt1 Pt 0.311 0.311 0.689
# E above lowest polymorph: 83 meV/atom


Record 3
# GGA-PBE K2SbTeO, relaxed
data_K2SbTeO
_cell_length_a 6.764
_cell_length_b 4.134
_cell_length_c 6.764
_cell_angle_alpha 90.00
_cell_angle_beta 90.00
_cell_angle_gamma 90.00
_space_group_name_H-M_alt 'P 1'
_space_group_IT_number 1
_space_group_name_Hall 'P 1'
loop_
_atom_site_label
_atom_site_type_symbol
_atom_site_fract_x
_atom_site_fract_y
_atom_site_fract_z
Te1 Te 0.500 0.500 0.500
K1 K 0.000 0.000 0.500
Sb1 Sb 0.000 0.000 0.000
O1 O 0.000 0.500 0.000
K2 K 0.500 0.000 0.000
# energy relative to the elements, uncorrected: -0.4843 eV per atom


Record 4
# GGA-PBE Na2Ca2Te, relaxed
data_Na2Ca2Te
_cell_length_a 8.214
_cell_length_b 8.214
_cell_length_c 6.026
_cell_angle_alpha 90.00
_cell_angle_beta 90.00
_cell_angle_gamma 90.00
_space_group_name_H-M_alt 'P 1'
_space_group_IT_number 1
_space_group_name_Hall 'P 1'
loop_
_atom_site_label
_atom_site_type_symbol
_atom_site_fract_x
_atom_site_fract_y
_atom_site_fract_z
Na1 Na 0.355 0.145 0.500
Ca1 Ca 0.835 0.665 0.000
Te1 Te 0.000 0.000 0.000
Na2 Na 0.645 0.855 0.500
Te2 Te 0.500 0.500 0.000
Na3 Na 0.855 0.355 0.500
Na4 Na 0.145 0.645 0.500
Ca2 Ca 0.335 0.835 0.000
Ca3 Ca 0.665 0.165 0.000
Ca4 Ca 0.165 0.335 0.000
# energy relative to the elements, uncorrected: -0.3711 eV per atom
# E above lowest polymorph: 26 meV/atom


Record 5
# GGA-PBE PmSmTeAu, relaxed
data_PmSmTeAu
_cell_length_a 4.262
_cell_length_b 4.262
_cell_length_c 7.986
_cell_angle_alpha 74.52
_cell_angle_beta 74.52
_cell_angle_gamma 60.00
_space_group_name_H-M_alt 'P 1'
_space_group_IT_number 1
_space_group_name_Hall 'P 1'
loop_
_atom_site_label
_atom_site_type_symbol
_atom_site_fract_x
_atom_site_fract_y
_atom_site_fract_z
Pm1 Pm 0.994 0.994 0.017
Au1 Au 0.249 0.249 0.252
Te1 Te 0.750 0.750 0.749
Sm1 Sm 0.506 0.506 0.483
# energy relative to the elements, uncorrected: -1.0599 eV per atom


Record 6
# GGA-PBE Tb3Nd3Y, relaxed
data_Tb3Nd3Y
_cell_length_a 5.794
_cell_length_b 9.713
_cell_length_c 9.713
_cell_angle_alpha 120.00
_cell_angle_beta 90.00
_cell_angle_gamma 90.00
_space_group_name_H-M_alt 'P 1'
_space_group_IT_number 1
_space_group_name_Hall 'P 1'
loop_
_atom_site_label
_atom_site_type_symbol
_atom_site_fract_x
_atom_site_fract_y
_atom_site_fract_z
Tb1 Tb 0.250 0.235 0.190
Nd1 Nd 0.750 0.905 0.527
Nd2 Nd 0.250 0.379 0.905
Tb2 Tb 0.250 0.955 0.765
Y1 Y 0.750 0.333 0.667
Tb3 Tb 0.250 0.810 0.045
Tb4 Tb 0.750 0.765 0.810
Y2 Y 0.250 0.667 0.333
Nd3 Nd 0.750 0.473 0.379
Nd4 Nd 0.250 0.527 0.621
Nd5 Nd 0.750 0.621 0.095
Tb5 Tb 0.750 0.045 0.235
Tb6 Tb 0.750 0.190 0.955
Nd6 Nd 0.250 0.095 0.473
# E above lowest polymorph: 0 meV/atom


Record 7
# GGA-PBE Cd2Ag2Hg, relaxed
data_Cd2Ag2Hg
_cell_length_a 7.865
_cell_length_b 7.865
_cell_length_c 3.408
_cell_angle_alpha 90.00
_cell_angle_beta 90.00
_cell_angle_gamma 90.00
_space_group_name_H-M_alt 'P 1'
_space_group_IT_number 1
_space_group_name_Hall 'P 1'
loop_
_atom_site_label
_atom_site_type_symbol
_atom_site_fract_x
_atom_site_fract_y
_atom_site_fract_z
Cd1 Cd 0.339 0.161 0.500
Ag1 Ag 0.136 0.364 0.000
Cd2 Cd 0.661 0.839 0.500
Cd3 Cd 0.839 0.339 0.500
Hg1 Hg 0.000 0.000 0.000
Cd4 Cd 0.161 0.661 0.500
Ag2 Ag 0.864 0.636 0.000
Hg2 Hg 0.500 0.500 0.000
Ag3 Ag 0.364 0.864 0.000
Ag4 Ag 0.636 0.136 0.000
# E above lowest polymorph: 22 meV/atom


Record 8
# GGA-PBE Li2BeB, relaxed
data_Li2BeB
_cell_length_a 3.713
_cell_length_b 3.713
_cell_length_c 3.713
_cell_angle_alpha 60.00
_cell_angle_beta 60.00
_cell_angle_gamma 60.00
_space_group_name_H-M_alt 'P 1'
_space_group_IT_number 1
_space_group_name_Hall 'P 1'
loop_
_atom_site_label
_atom_site_type_symbol
_atom_site_fract_x
_atom_site_fract_y
_atom_site_fract_z
B1 B 0.500 0.500 0.500
Li1 Li 0.250 0.250 0.250
Be1 Be 0.000 0.000 0.000
Li2 Li 0.750 0.750 0.750
# E above lowest polymorph: 123 meV/atom


Record 9
The following is a DFT calculation (GGA-PBE) of a geometry-optimized NiMoP structure.

Cell and atoms, written as CIF:
```
data_NiMoP
_cell_length_a 5.860
_cell_length_b 5.860
_cell_length_c 3.755
_cell_angle_alpha 90.00
_cell_angle_beta 90.00
_cell_angle_gamma 120.00
_space_group_name_H-M_alt 'P 1'
_space_group_IT_number 1
_space_group_name_Hall 'P 1'
loop_
_atom_site_label
_atom_site_type_symbol
_atom_site_fract_x
_atom_site_fract_y
_atom_site_fract_z
Mo1 Mo 0.000 0.586 0.500
Ni1 Ni 0.749 0.749 0.000
P1 P 0.667 0.333 0.000
P2 P 0.000 0.000 0.500
Mo2 Mo 0.414 0.414 0.500
Mo3 Mo 0.586 0.000 0.500
Ni2 Ni 0.251 0.000 0.000
Ni3 Ni 0.000 0.251 0.000
P3 P 0.333 0.667 0.000
```


Record 10
The following is a DFT calculation (GGA-PBE) of a geometry-optimized Ac2YSn3Ir4 structure.

Cell and atoms, written as CIF:
```
data_Ac2YSn3Ir4
_cell_length_a 4.486
_cell_length_b 4.486
_cell_length_c 11.710
_cell_angle_alpha 90.00
_cell_angle_beta 90.00
_cell_angle_gamma 90.00
_space_group_name_H-M_alt 'P 1'
_space_group_IT_number 1
_space_group_name_Hall 'P 1'
loop_
_atom_site_label
_atom_site_type_symbol
_atom_site_fract_x
_atom_site_fract_y
_atom_site_fract_z
Ac1 Ac 0.500 0.000 0.238
Ir1 Ir 0.500 0.000 0.649
Ir2 Ir 0.500 0.500 0.000
Ir3 Ir 0.000 0.500 0.351
Sn1 Sn 0.000 0.500 0.123
Sn2 Sn 0.500 0.000 0.877
Y1 Y 0.500 0.500 0.500
Sn3 Sn 0.000 0.000 0.500
Ac2 Ac 0.000 0.500 0.762
Ir4 Ir 0.000 0.000 0.000
```


Raw total energy for every record listed, in sequence, given in eV per formula unit: -40.4 -23.3 -16.8 -11.6 -20.1 -34.5 -7.7 -12.2 -23.7 -68.6.
Theoretical density for every record listed, in sequence, given in g/cm3: 5.8 14.5 3.0 2.1 8.6 7.0 10.1 1.5 8.3 11.8.